# NaCrCl4

A relaxed NaCrCl4 crystal (PBE, the Alexandria database).

Cell: 8.415 8.415 6.165 Å, 97.60 97.60 126.35°
Fractional coordinates of all 12 atoms:
Na 0.219 0.781 0.750
Na 0.781 0.219 0.250
Cr 0.060 0.940 0.250
Cr 0.940 0.060 0.750
Cl 0.026 0.363 0.682
Cl 0.127 0.233 0.137
Cl 0.233 0.127 0.637
Cl 0.363 0.026 0.182
Cl 0.637 0.974 0.818
Cl 0.767 0.873 0.363
Cl 0.873 0.767 0.863
Cl 0.974 0.637 0.318

Results
Raw total energy: -4.38 eV per atom
Relative energy among the computed polymorphs: 0 meV/atom

=====

# ErFeCu

A relaxed ErFeCu crystal (PBE, the Alexandria database).

Cell: 5.183 5.183 5.183 Å, 121.76 121.03 87.60°
Fractional coordinates of all 6 atoms:
Er 0.372 0.122 0.250
Er 0.628 0.878 0.750
Fe 0.000 0.000 0.500
Fe 0.000 0.500 0.000
Cu 0.000 0.500 0.500
Cu 0.500 0.500 0.000

Results
Raw total energy: -5.80 eV per atom
Energy relative to the elements: -0.0894 eV/atom

=====

# SrCo2C2

A relaxed SrCo2C2 crystal (PBE, the Alexandria database).

Cell: 5.941 5.941 5.941 Å, 146.80 146.80 47.67°
Fractional coordinates of all 5 atoms:
Sr 0.000 0.000 0.000
Co 0.250 0.750 0.500
Co 0.750 0.250 0.500
C 0.337 0.337 0.000
C 0.663 0.663 0.000

Results
Raw total energy: -6.89 eV per atom
Energy relative to the elements: -0.0216 eV/atom

=====

# Cs2RbNaBr

A relaxed Cs2RbNaBr crystal (PBE, the Alexandria database).

Cell: 7.208 7.208 6.861 Å, 90.00 90.00 90.00°
Fractional coordinates of all 5 atoms:
Cs 0.000 0.500 0.000
Cs 0.500 0.000 0.000
Rb 0.000 0.000 0.500
Na 0.500 0.500 0.500
Br 0.000 0.000 0.000

Results
Raw total energy: -1.79 eV per atom
Relative energy among the computed polymorphs: 0 meV/atom

=====

Taking the records one at a time from the top gives M_tot values of 3.00, 1.33, 0.00, 0.00 μB per formula unit.